This record from Alexandria via LeMat-Bulk describes a relaxed structure of Cs2AcS3. The functional is PBE.

Total moment = 1.06 Bohr magnetons per cell
Space group = Immm (71)
Energy relative to the elements, uncorrected = -1.327 eV per atom

a b c (Å): 4.458 6.466 8.732
angles (deg): 111.73 104.79 90.00
Element x y z (fractional)
Cs1 0.684 0.184 0.368
Cs2 0.316 0.816 0.632
Ac1 0.000 0.500 0.000
S1 0.374 0.374 0.748
S2 0.000 0.000 0.000
S3 0.626 0.626 0.252